1.
Compound: Ag2SbPb
Source: the Alexandria database
Functional: SCAN
Structure: PBEsol geometry

## Properties
D(E_F): 0.395 states/eV per atom
Formation energy from raw total energies: 0.105 eV per atom
M_tot: 0.00 μB per cell

Geometry as extended XYZ:
```
4
Lattice="3.900 0.000 0.000 0.000 4.311 0.000 -1.922 0.000 5.330" Properties=species:S:1:pos:R:3 pbc="T T T"
Ag 0.000 0.000 0.000
Ag 0.014 2.155 1.776
Sb 0.017 2.155 4.704
Pb 1.969 0.000 2.468
```

2.
Compound: LaCdTe2
Source: the Alexandria database
Functional: SCAN
Structure: PBEsol geometry

## Properties
D(E_F): 0.238 states/eV per atom
Formation energy from raw total energies: -1.177 eV per atom
M_tot: 0.00 μB per cell

Geometry as extended XYZ:
```
4
Lattice="4.532 0.000 0.000 0.000 2.122 6.098 0.000 -2.122 6.098" Properties=species:S:1:pos:R:3 pbc="T T T"
La 0.000 0.000 0.000
Cd 2.266 0.000 2.531
Te 0.000 0.000 8.616
Te 2.266 0.000 5.381
```

3.
Compound: SrMnHg
Source: the Alexandria database
Functional: SCAN
Structure: PBEsol geometry

## Properties
D(E_F): 0.961 states/eV per atom
Calculated formation energy: -0.053 eV per atom
M_tot: 4.50 μB per cell

Geometry as extended XYZ:
```
3
Lattice="0.000 3.525 3.525 3.525 0.000 3.525 3.525 3.525 0.000" Properties=species:S:1:pos:R:3 pbc="T T T"
Sr 0.000 0.000 0.000
Mn 3.525 3.525 3.525
Hg 5.287 5.287 5.287
```